(1)
The following is a DFT calculation (GGA-PBE) of a relaxed Pm6TlTc2 crystal. Values from VASP.

Structure (Quantum ESPRESSO input):
```
&SYSTEM
  ibrav = 0, nat = 18, ntyp = 3
/
ATOMIC_SPECIES
Pm 145.00 Pm.upf
Tl 204.38 Tl.upf
Tc 98.00 Tc.upf
CELL_PARAMETERS angstrom
-4.896 4.992 5.301
4.896 -4.992 5.301
4.896 4.992 -5.301
ATOMIC_POSITIONS crystal
Pm 0.013 0.230 0.783
Pm 0.192 0.286 0.477
Pm 0.192 0.714 0.906
Pm 0.314 0.022 0.708
Pm 0.314 0.606 0.292
Pm 0.447 0.230 0.217
Pm 0.553 0.770 0.783
Pm 0.686 0.394 0.708
Pm 0.686 0.978 0.292
Pm 0.808 0.286 0.094
Pm 0.808 0.714 0.523
Pm 0.987 0.770 0.217
Tl 0.000 0.000 0.000
Tl 0.500 0.500 0.000
Tc 0.113 0.613 0.500
Tc 0.380 0.000 0.380
Tc 0.620 0.000 0.620
Tc 0.887 0.387 0.500
```

Total energy   -104.8 eV/cell
Symmetry   No. 71
E_form   -87 meV/atom


(2)
The following is a DFT calculation (GGA-PBE) of a relaxed Pm2TlTc crystal. Values from VASP.

Structure (Quantum ESPRESSO input):
```
&SYSTEM
  ibrav = 0, nat = 4, ntyp = 3
/
ATOMIC_SPECIES
Pm 145.00 Pm.upf
Tl 204.38 Tl.upf
Tc 98.00 Tc.upf
CELL_PARAMETERS angstrom
3.516 0.000 0.000
0.000 3.516 0.000
0.000 0.000 8.453
ATOMIC_POSITIONS crystal
Pm 0.000 0.000 0.202
Pm 0.000 0.000 0.798
Tl 0.500 0.500 0.500
Tc 0.500 0.500 0.000
```

Total energy   -22.6 eV/cell
Energy above the lowest structure with this stoichiometry   0 meV/atom
Symmetry   No. 123
E_form   -80 meV/atom